[1]
Ce2Ti | PBE | optimized geometry

a = 3.751 Å, b = 3.751 Å, c = 9.923 Å
α = 90.00°, β = 90.00°, γ = 90.00°
Space group I4/mmm (No. 139)
Inequivalent atoms, fractional coordinates:
Ce 0.000 0.000 0.163 (multiplicity 4)
Ti 0.000 0.000 0.500 (multiplicity 2)

## Properties
The calculation puts the formation energy at 203 meV per atom.

***

[2]
Ce3Ti | PBE | optimized geometry

a = 2.981 Å, b = 3.040 Å, c = 10.264 Å
α = 90.00°, β = 90.00°, γ = 90.00°
Space group Pmm2 (No. 25)
Inequivalent atoms, fractional coordinates:
Ce 0.000 0.000 0.000 (multiplicity 1)
Ce 0.000 0.500 0.257 (multiplicity 1)
Ce 0.500 0.500 0.737 (multiplicity 1)
Ti 0.500 0.000 0.490 (multiplicity 1)

## Properties
The calculation puts the formation energy at 215 meV per atom.

***

[3]
Ce3Ti | PBE | optimized geometry

a = 4.488 Å, b = 4.488 Å, c = 9.548 Å
α = 90.00°, β = 90.00°, γ = 90.00°
Space group I4/mmm (No. 139)
Inequivalent atoms, fractional coordinates:
Ce 0.000 0.000 0.000 (multiplicity 2)
Ce 0.000 0.500 0.250 (multiplicity 4)
Ti 0.000 0.000 0.500 (multiplicity 2)

## Properties
The calculation puts the formation energy at 132 meV per atom.

***

[4]
Ce3Ti | PBE | optimized geometry

a = 3.052 Å, b = 10.539 Å, c = 5.938 Å
α = 90.00°, β = 90.00°, γ = 90.00°
Space group Imm2 (No. 44)
Inequivalent atoms, fractional coordinates:
Ce 0.000 0.000 0.000 (multiplicity 2)
Ce 0.000 0.235 0.773 (multiplicity 4)
Ti 0.000 0.500 0.002 (multiplicity 2)

## Properties
The calculation puts the formation energy at 147 meV per atom.

***

[5]
CeTi2Tl | PBE | optimized geometry

a = 4.602 Å, b = 4.602 Å, c = 3.976 Å
α = 90.00°, β = 90.00°, γ = 90.00°
Space group P4/mmm (No. 123)
Inequivalent atoms, fractional coordinates:
Ce 0.000 0.000 0.000 (multiplicity 1)
Ti 0.000 0.500 0.500 (multiplicity 2)
Tl 0.500 0.500 0.000 (multiplicity 1)

## Properties
As for the energy above the most stable polymorph in this dataset: 0 meV/atom. The calculation puts the formation energy at 99 meV per atom.

***

[6]
CeTiTl2 | PBE | optimized geometry

a = 4.668 Å, b = 4.668 Å, c = 4.612 Å
α = 90.00°, β = 90.00°, γ = 90.00°
Space group P4/mmm (No. 123)
Inequivalent atoms, fractional coordinates:
Ce 0.000 0.000 0.000 (multiplicity 1)
Ti 0.500 0.500 0.000 (multiplicity 1)
Tl 0.000 0.500 0.500 (multiplicity 2)

## Properties
The calculation puts the formation energy at 21 meV per atom.

***

[7]
CeTiTl | PBE | optimized geometry

a = 5.1407 Å, b = 5.1407 Å, c = 3.1036 Å
α = 90.00°, β = 90.00°, γ = 120.00°
Space group P-6m2 (No. 187)
Inequivalent atoms, fractional coordinates:
Ce 0.0000 0.0000 0.0000 (multiplicity 1)
Ti 0.6667 0.3333 0.0000 (multiplicity 1)
Tl 0.3333 0.6667 0.5000 (multiplicity 1)

## Properties
The calculation puts the formation energy at 250 meV per atom.

***

[8]
CeTi2Tl | PBE | optimized geometry

a = 3.0397 Å, b = 3.0397 Å, c = 31.4962 Å
α = 90.00°, β = 90.00°, γ = 120.00°
Space group R-3m (No. 166, hexagonal axes)
Inequivalent atoms, fractional coordinates:
Ce 0.0000 0.0000 0.0000 (multiplicity 3)
Ti 0.0000 0.0000 0.0887 (multiplicity 6)
Tl 0.0000 0.0000 0.5000 (multiplicity 3)

## Properties
As for the energy above the most stable polymorph in this dataset: 231 meV/atom. The calculation puts the formation energy at 330 meV per atom.

***

Copy entry 1 word for word.
Ce2Ti | PBE | optimized geometry

a = 3.751 Å, b = 3.751 Å, c = 9.923 Å
α = 90.00°, β = 90.00°, γ = 90.00°
Space group I4/mmm (No. 139)
Inequivalent atoms, fractional coordinates:
Ce 0.000 0.000 0.163 (multiplicity 4)
Ti 0.000 0.000 0.500 (multiplicity 2)

## Properties
The calculation puts the formation energy at 203 meV per atom.

***

Copy entry 2 word for word.
Ce3Ti | PBE | optimized geometry

a = 2.981 Å, b = 3.040 Å, c = 10.264 Å
α = 90.00°, β = 90.00°, γ = 90.00°
Space group Pmm2 (No. 25)
Inequivalent atoms, fractional coordinates:
Ce 0.000 0.000 0.000 (multiplicity 1)
Ce 0.000 0.500 0.257 (multiplicity 1)
Ce 0.500 0.500 0.737 (multiplicity 1)
Ti 0.500 0.000 0.490 (multiplicity 1)

## Properties
The calculation puts the formation energy at 215 meV per atom.